[1]
A plane-wave DFT calculation with PBE was carried out for a relaxed structure of CdFe2Br.

* calculated total energy: -4.189 eV per atom
* crystal system: monoclinic
* ΔE to the lowest computed polymorph: 444.5 meV per atom
* ΔE_f (raw): 689 meV per atom
* total magnetic moment: 1.521 μB/atom

Unit cell a=5.7740 b=8.2192 c=3.0140 alpha=90.00 beta=94.82 gamma=90.00
With the nearest neighbours (Å) after each atom.
Positions (direct):
1 Cd 0.0000 0.0000 0.0000  8 Fe 2.87-2.99, 2 Br 2.89, 2 Cd 3.01
2 Cd 0.5000 0.5000 0.0000  8 Fe 2.87-2.99, 2 Br 2.89, 2 Cd 3.01
3 Fe 0.2500 0.2500 0.5000  4 Cd 2.87-2.99, 4 Br 2.87-2.99, 4 Fe 2.89-3.01
4 Fe 0.2500 0.7500 0.5000  4 Cd 2.87-2.99, 4 Br 2.87-2.99, 4 Fe 2.89-3.01
5 Fe 0.7500 0.2500 0.5000  4 Br 2.87-2.99, 4 Cd 2.87-2.99, 4 Fe 2.89-3.01
6 Fe 0.7500 0.7500 0.5000  4 Cd 2.87-2.99, 4 Br 2.87-2.99, 4 Fe 2.89-3.01
7 Br 0.0000 0.5000 0.0000  8 Fe 2.87-2.99, 2 Cd 2.89, 2 Br 3.01
8 Br 0.5000 0.0000 0.0000  8 Fe 2.87-2.99, 2 Cd 2.89, 2 Br 3.01

***

[2]
A plane-wave DFT calculation with PBE was carried out for a relaxed structure of CdFe2Br.

* calculated total energy: -4.566 eV per atom
* crystal system: monoclinic
* ΔE to the lowest computed polymorph: 67.9 meV per atom
* ΔE_f (raw): 312 meV per atom
* total magnetic moment: 1.391 μB/atom

Unit cell a=9.5602 b=3.1143 c=7.5447 alpha=90.00 beta=127.11 gamma=90.00
With the nearest neighbours (Å) after each atom.
Positions (direct):
1 Cd 0.0000 0.0000 0.0000  6 Fe 2.75-2.80
2 Cd 0.5000 0.5000 0.0000  6 Fe 2.75-2.80
3 Fe 0.1588 0.5000 0.8574  2 Fe 2.36
4 Fe 0.3412 0.0000 0.1426  2 Fe 2.36
5 Fe 0.6588 0.0000 0.8574  2 Fe 2.36
6 Fe 0.8412 0.5000 0.1426  2 Fe 2.36
7 Br 0.0000 0.0000 0.5000  4 Fe 2.66
8 Br 0.5000 0.5000 0.5000  4 Fe 2.66

***

[3]
A plane-wave DFT calculation with PBE was carried out for a relaxed structure of CdFe2Br.

* calculated total energy: -4.625 eV per atom
* crystal system: tetragonal
* ΔE to the lowest computed polymorph: 8.6 meV per atom
* ΔE_f (raw): 253 meV per atom
* total magnetic moment: 1.353 μB/atom

Unit cell a=3.1907 b=3.1907 c=7.5172 alpha=90.00 beta=90.00 gamma=90.00
With the nearest neighbours (Å) after each atom.
Positions (direct):
1 Cd 0.0000 0.0000 0.0000  5 Fe 2.82-2.83
2 Fe 0.0000 0.0000 0.3755  4 Fe 2.52, 4 Br 2.73
3 Fe 0.5000 0.5000 0.2268  4 Fe 2.52, 1 Br 2.66
4 Br 0.5000 0.5000 0.5811  5 Fe 2.66-2.73

***

[4]
A plane-wave DFT calculation with PBE was carried out for a relaxed structure of Cd2FeBr.

* calculated total energy: -2.652 eV per atom
* crystal system: tetragonal
* ΔE to the lowest computed polymorph: 209.8 meV per atom
* ΔE_f (raw): 339 meV per atom
* total magnetic moment: 0.750 μB/atom

Unit cell a=9.2914 b=9.2914 c=4.8663 alpha=90.00 beta=90.00 gamma=90.00
With the nearest neighbours (Å) after each atom.
Positions (direct):
1 Cd 0.1537 0.2500 0.1250  2 Fe 2.79, 2 Cd 3.02
2 Cd 0.2500 0.6537 0.3750  2 Fe 2.79, 2 Cd 3.02
3 Cd 0.2500 0.8463 0.8750  2 Fe 2.79, 2 Cd 3.02
4 Cd 0.3463 0.2500 0.6250  2 Fe 2.79, 2 Cd 3.02
5 Cd 0.6537 0.7500 0.6250  2 Fe 2.79, 2 Cd 3.02
6 Cd 0.7500 0.1537 0.8750  2 Fe 2.79, 2 Cd 3.02
7 Cd 0.7500 0.3463 0.3750  2 Fe 2.79, 2 Cd 3.02
8 Cd 0.8463 0.7500 0.1250  2 Fe 2.79, 2 Cd 3.02
9 Fe 0.0000 0.0000 0.0000  2 Br 2.43
10 Fe 0.0000 0.5000 0.2500  2 Br 2.43
11 Fe 0.5000 0.0000 0.7500  2 Br 2.43
12 Fe 0.5000 0.5000 0.5000  2 Br 2.43
13 Br 0.0000 0.0000 0.5000  2 Fe 2.43
14 Br 0.0000 0.5000 0.7500  2 Fe 2.43
15 Br 0.5000 0.0000 0.2500  2 Fe 2.43
16 Br 0.5000 0.5000 0.0000  2 Fe 2.43

***

[5]
A plane-wave DFT calculation with PBE was carried out for a relaxed structure of CdFe2Br.

* calculated total energy: -4.456 eV per atom
* crystal system: orthorhombic
* ΔE to the lowest computed polymorph: 177.7 meV per atom
* ΔE_f (raw): 422 meV per atom
* total magnetic moment: 1.414 μB/atom

Unit cell a=3.0817 b=4.6077 c=11.3579 alpha=90.00 beta=90.00 gamma=90.00
With the nearest neighbours (Å) after each atom.
Positions (direct):
1 Cd 0.0000 0.0000 0.0000  6 Fe 2.73-2.79
2 Cd 0.5000 0.5000 0.5000  6 Fe 2.73-2.79
3 Fe 0.0000 0.0000 0.5306  2 Fe 2.38
4 Fe 0.0000 0.5000 0.8709  2 Fe 2.38
5 Fe 0.5000 0.0000 0.3709  2 Fe 2.38
6 Fe 0.5000 0.5000 0.0306  2 Fe 2.38
7 Br 0.0000 0.5000 0.2237  2 Fe 2.68
8 Br 0.5000 0.0000 0.7237  2 Fe 2.68

***

[6]
A plane-wave DFT calculation with PBE was carried out for a relaxed structure of CdFe2Br.

* calculated total energy: -4.492 eV per atom
* crystal system: orthorhombic
* ΔE to the lowest computed polymorph: 141.4 meV per atom
* ΔE_f (raw): 386 meV per atom
* total magnetic moment: 1.408 μB/atom

Unit cell a=3.1005 b=4.0386 c=6.5080 alpha=90.00 beta=90.00 gamma=90.00
With the nearest neighbours (Å) after each atom.
Positions (direct):
1 Cd 0.0000 0.0000 0.0000  8 Fe 2.80, 2 Cd 3.10
2 Fe 0.5000 0.5000 0.1797  1 Fe 2.34, 2 Br 2.60
3 Fe 0.5000 0.5000 0.8203  1 Fe 2.34, 2 Br 2.60
4 Br 0.0000 0.5000 0.5000  4 Fe 2.60

***

[7]
A plane-wave DFT calculation with PBE was carried out for a relaxed structure of CdFe2Br6.

* calculated total energy: -3.609 eV per atom
* crystal system: monoclinic
* ΔE_f (raw): -511 meV per atom
* total magnetic moment: 0.889 μB/atom

Unit cell a=9.0926 b=9.0926 c=7.0137 alpha=99.60 beta=99.60 gamma=84.38
With the nearest neighbours (Å) after each atom.
Positions (direct):
1 Cd 0.1205 0.8795 0.7500  4 Br 2.72-2.80
2 Cd 0.8795 0.1205 0.2500  4 Br 2.72-2.80
3 Fe 0.2206 0.3836 0.6927  4 Br 2.42-2.45
4 Fe 0.3836 0.2206 0.1927  4 Br 2.42-2.45
5 Fe 0.6164 0.7794 0.8073  4 Br 2.42-2.45
6 Fe 0.7794 0.6164 0.3073  4 Br 2.42-2.45
7 Br 0.0384 0.1926 0.6271  1 Fe 2.45
8 Br 0.1238 0.6118 0.8759  1 Fe 2.42
9 Br 0.1926 0.0384 0.1271  1 Fe 2.45
10 Br 0.2916 0.4441 0.3968  2 Fe 2.43-2.44
11 Br 0.3882 0.8762 0.6241  1 Fe 2.42
12 Br 0.4441 0.2916 0.8968  2 Fe 2.43-2.44
13 Br 0.5559 0.7084 0.1032  2 Fe 2.43-2.44
14 Br 0.6118 0.1238 0.3759  1 Fe 2.42
15 Br 0.7084 0.5559 0.6032  2 Fe 2.43-2.44
16 Br 0.8074 0.9616 0.8729  1 Fe 2.45
17 Br 0.8762 0.3882 0.1241  1 Fe 2.42
18 Br 0.9616 0.8074 0.3729  1 Fe 2.45

***

[8]
A plane-wave DFT calculation with PBE was carried out for a relaxed structure of CdFeBr.

* calculated total energy: -3.450 eV per atom
* crystal system: tetragonal
* ΔE to the lowest computed polymorph: 88.2 meV per atom
* ΔE_f (raw): 233 meV per atom
* total magnetic moment: 0.998 μB/atom

Unit cell a=3.1964 b=3.1964 c=12.5548 alpha=90.00 beta=90.00 gamma=90.00
With the nearest neighbours (Å) after each atom.
Positions (direct):
1 Cd 0.0000 0.0000 0.0000  4 Fe 2.87, 4 Cd 3.20
2 Cd 0.5000 0.5000 0.5000  4 Fe 2.87, 4 Cd 3.20
3 Fe 0.0000 0.0000 0.6408  4 Br 2.70, 4 Cd 2.87
4 Fe 0.5000 0.5000 0.1408  4 Br 2.70, 4 Cd 2.87
5 Br 0.0000 0.0000 0.2590  4 Fe 2.70
6 Br 0.5000 0.5000 0.7590  4 Fe 2.70

***

[9]
A plane-wave DFT calculation with PBE was carried out for a relaxed structure of CdFe2Br.

* calculated total energy: -4.358 eV per atom
* crystal system: trigonal
* ΔE to the lowest computed polymorph: 276.3 meV per atom
* ΔE_f (raw): 521 meV per atom
* total magnetic moment: 1.447 μB/atom

Unit cell a=3.0918 b=3.0918 c=25.0744 alpha=90.00 beta=90.00 gamma=120.00
With the nearest neighbours (Å) after each atom.
Positions (direct):
1 Cd 0.0000 0.0000 0.0000  6 Fe 2.84, 6 Cd 3.09
2 Cd 0.3333 0.6667 0.6667  6 Fe 2.84, 6 Cd 3.09
3 Cd 0.6667 0.3333 0.3333  6 Fe 2.84, 6 Cd 3.09
4 Fe 0.0000 0.0000 0.2453  3 Br 2.66, 3 Cd 2.84
5 Fe 0.0000 0.0000 0.7547  3 Br 2.66, 3 Cd 2.84
6 Fe 0.3333 0.6667 0.4214  3 Br 2.66, 3 Cd 2.84
7 Fe 0.3333 0.6667 0.9120  3 Br 2.66, 3 Cd 2.84
8 Fe 0.6667 0.3333 0.0880  3 Br 2.66, 3 Cd 2.84
9 Fe 0.6667 0.3333 0.5786  3 Br 2.66, 3 Cd 2.84
10 Br 0.0000 0.0000 0.5000  6 Fe 2.66
11 Br 0.3333 0.6667 0.1667  6 Fe 2.66
12 Br 0.6667 0.3333 0.8333  6 Fe 2.66

***

[10]
A plane-wave DFT calculation with PBE was carried out for a relaxed structure of Cd2FeBr.

* calculated total energy: -2.579 eV per atom
* crystal system: orthorhombic
* ΔE to the lowest computed polymorph: 283.2 meV per atom
* ΔE_f (raw): 412 meV per atom
* total magnetic moment: 0.759 μB/atom

Unit cell a=3.1636 b=4.7450 c=5.8198 alpha=90.00 beta=90.00 gamma=90.00
With the nearest neighbours (Å) after each atom.
Positions (direct):
1 Cd 0.0000 0.0000 0.0000  6 Cd 2.85-3.16
2 Cd 0.5000 0.5000 0.0000  6 Cd 2.85-3.16
3 Fe 0.0000 0.5000 0.5000  4 Br 2.85, 2 Fe 3.16
4 Br 0.5000 0.0000 0.5000  4 Fe 2.85, 2 Br 3.16

***

[11]
A plane-wave DFT calculation with PBE was carried out for a relaxed structure of Cd2FeBr.

* calculated total energy: -2.856 eV per atom
* crystal system: trigonal
* ΔE to the lowest computed polymorph: 5.8 meV per atom
* ΔE_f (raw): 135 meV per atom
* total magnetic moment: 0.768 μB/atom

Unit cell a=3.2270 b=3.2270 c=30.2489 alpha=90.00 beta=90.00 gamma=120.00
With the nearest neighbours (Å) after each atom.
Positions (direct):
1 Cd 0.0000 0.0000 0.0000  9 Cd 3.23-3.40
2 Cd 0.0000 0.0000 0.2395  3 Fe 2.81
3 Cd 0.3333 0.6667 0.6667  9 Cd 3.23-3.40
4 Cd 0.3333 0.6667 0.9061  3 Fe 2.81
5 Cd 0.6667 0.3333 0.3333  9 Cd 3.23-3.40
6 Cd 0.6667 0.3333 0.5728  3 Fe 2.81
7 Fe 0.0000 0.0000 0.5032  3 Br 2.50
8 Fe 0.3333 0.6667 0.1699  3 Br 2.50
9 Fe 0.6667 0.3333 0.8365  3 Br 2.50
10 Br 0.0000 0.0000 0.7815  3 Fe 2.50
11 Br 0.3333 0.6667 0.4482  3 Fe 2.50
12 Br 0.6667 0.3333 0.1149  3 Fe 2.50

***

[12]
A plane-wave DFT calculation with PBE was carried out for a relaxed structure of Cd2FeBr.

* calculated total energy: -2.701 eV per atom
* crystal system: monoclinic
* ΔE to the lowest computed polymorph: 161.7 meV per atom
* ΔE_f (raw): 291 meV per atom
* total magnetic moment: 0.731 μB/atom

Unit cell a=13.7485 b=3.1054 c=4.3315 alpha=90.00 beta=108.30 gamma=90.00
With the nearest neighbours (Å) after each atom.
Positions (direct):
1 Cd 0.1915 0.0000 0.1920  2 Fe 2.94, 6 Cd 3.07-3.11
2 Cd 0.3085 0.5000 0.8080  2 Fe 2.94, 6 Cd 3.07-3.11
3 Cd 0.6915 0.5000 0.1920  2 Fe 2.94, 6 Cd 3.07-3.11
4 Cd 0.8085 0.0000 0.8080  2 Fe 2.94, 6 Cd 3.07-3.11
5 Fe 0.0000 0.5000 0.0000  4 Br 2.66, 4 Cd 2.94
6 Fe 0.5000 0.0000 0.0000  4 Br 2.66, 4 Cd 2.94
7 Br 0.0000 0.0000 0.5000  4 Fe 2.66
8 Br 0.5000 0.5000 0.5000  4 Fe 2.66

***

[13]
A plane-wave DFT calculation with PBE was carried out for a relaxed structure of Cd3FeBr.

* calculated total energy: -1.445 eV per atom
* crystal system: cubic
* ΔE to the lowest computed polymorph: 780.1 meV per atom
* ΔE_f (raw): 1132 meV per atom
* total magnetic moment: 0.646 μB/atom

Unit cell a=5.5746 b=5.5746 c=5.5746 alpha=90.00 beta=90.00 gamma=90.00
With the nearest neighbours (Å) after each atom.
Positions (direct):
1 Cd 0.0000 0.0000 0.5000  2 Br 2.79
2 Cd 0.0000 0.5000 0.0000  2 Br 2.79
3 Cd 0.5000 0.0000 0.0000  2 Br 2.79
4 Fe 0.5000 0.5000 0.5000  12 Cd 3.94
5 Br 0.0000 0.0000 0.0000  6 Cd 2.79

***

[14]
A plane-wave DFT calculation with PBE was carried out for a relaxed structure of CdFe4Br.

* calculated total energy: -5.515 eV per atom
* crystal system: cubic
* ΔE_f (raw): 559 meV per atom
* total magnetic moment: 1.846 μB/atom

Unit cell a=5.1133 b=5.1133 c=5.1133 alpha=60.00 beta=60.00 gamma=60.00
With the nearest neighbours (Å) after each atom.
Positions (direct):
1 Cd 0.0000 0.0000 0.0000  12 Fe 2.99, 4 Br 3.13
2 Fe 0.3728 0.3728 0.3728  6 Fe 2.51-2.60
3 Fe 0.3728 0.3728 0.8815  6 Fe 2.51-2.60
4 Fe 0.3728 0.8815 0.3728  6 Fe 2.51-2.60
5 Fe 0.8815 0.3728 0.3728  6 Fe 2.51-2.60
6 Br 0.7500 0.7500 0.7500  12 Fe 3.00, 4 Cd 3.13

***

[15]
A plane-wave DFT calculation with PBE was carried out for a relaxed structure of Cd2FeBr.

* calculated total energy: -2.820 eV per atom
* crystal system: monoclinic
* ΔE to the lowest computed polymorph: 42.6 meV per atom
* ΔE_f (raw): 172 meV per atom
* total magnetic moment: 0.709 μB/atom

Unit cell a=4.2150 b=3.2306 c=7.1472 alpha=90.00 beta=106.78 gamma=90.00
With the nearest neighbours (Å) after each atom.
Positions (direct):
1 Cd 0.0000 0.0000 0.0000  1 Fe 2.69
2 Cd 0.3689 0.5000 0.7325  4 Fe 2.79
3 Fe 0.8071 0.0000 0.6066  2 Br 2.52, 5 Cd 2.69-2.79
4 Br 0.6698 0.5000 0.3247  2 Fe 2.52